# Dy2TlPt

Dy2TlPt after structural relaxation (PBE, Alexandria).

Output
The energy above the most stable polymorph in this dataset comes out at 1 meV/atom. As for the space group: P4/mmm, No. 123.

Structure (extended XYZ):
```
4
Lattice="-3.0456 -0.2808 1.8328 -0.7883 -2.9939 -1.7687 3.6107 -4.1222 5.3685" Properties=species:S:1:pos:R:3 pbc="T T T"
Tl -0.1116 -3.6985 2.7163
Pt -1.9169 -1.6374 0.0320
Dy 2.8226 -3.2224 4.1967
Dy 0.7881 -0.8998 1.1718
```

=====

# AcHfGa2

AcHfGa2 after structural relaxation (PBE, Alexandria).

Output
The energy above the most stable polymorph in this dataset comes out at 0 meV/atom. As for the space group: P4/mmm, No. 123.

Structure (extended XYZ):
```
4
Lattice="3.6766 0.0000 0.0000 0.0000 3.6766 0.0000 0.0000 0.0000 7.0131" Properties=species:S:1:pos:R:3 pbc="T T T"
Ac 1.8383 1.8383 3.5065
Hf 1.8383 1.8383 0.0000
Ga 0.0000 0.0000 5.6773
Ga 0.0000 0.0000 1.3358
```

=====

# Li2CdSnPd

Li2CdSnPd after structural relaxation (PBE, Alexandria).

Output
As for the space group: P4/mmm, No. 123.

Structure (extended XYZ):
```
5
Lattice="4.7029 0.0000 0.0000 0.0000 5.0509 0.0000 0.0000 0.0000 4.7029" Properties=species:S:1:pos:R:3 pbc="T T T"
Li 0.0000 0.0000 2.3515
Li 2.3515 0.0000 0.0000
Sn 2.3515 2.5254 2.3515
Pd 0.0000 2.5254 0.0000
Cd 0.0000 0.0000 0.0000
```

=====

# BaPm2Pt2

BaPm2Pt2 after structural relaxation (PBE, Alexandria).

Output
As for the space group: P-1, No. 2.

Structure (extended XYZ):
```
10
Lattice="7.6914 -0.0018 0.0211 3.8485 6.4154 0.8266 3.8326 0.7634 6.8948" Properties=species:S:1:pos:R:3 pbc="T T T"
Ba 10.9683 5.0052 2.3718
Ba 4.4042 2.1718 5.3708
Pm 6.9602 3.0878 2.0748
Pm 12.2695 6.6725 5.9477
Pm 3.1030 0.5045 1.7948
Pm 8.4123 4.0892 5.6678
Pt 9.8269 6.0281 7.3298
Pt 9.3854 2.4389 3.4837
Pt 5.5456 1.1490 0.4127
Pt 5.9870 4.7381 4.2589
```

=====

# HoTmMo

HoTmMo after structural relaxation (PBE, Alexandria).

Output
As for the space group: C2/m, No. 12.

Structure (extended XYZ):
```
6
Lattice="-1.9125 -3.9010 0.3644 0.2416 0.4339 5.9137 -4.5784 4.6116 -0.7431" Properties=species:S:1:pos:R:3 pbc="T T T"
Mo -3.6445 -0.5979 0.5529
Mo -2.6048 1.7424 4.9820
Tm -1.5708 -1.2297 4.6735
Tm -4.6785 2.3742 0.8614
Ho -4.6670 0.1818 3.5332
Ho -1.5823 0.9627 2.0017
```

=====

# La6DyYTm2

La6DyYTm2 after structural relaxation (PBE, Alexandria).

Output
As for the space group: C2/c, No. 15.

Structure (extended XYZ):
```
20
Lattice="9.3125 -2.0783 -2.1569 0.7640 8.7577 -2.0780 0.7640 -2.4011 8.6747" Properties=species:S:1:pos:R:3 pbc="T T T"
La 1.1389 -0.9660 6.2618
La 5.0453 -0.9758 6.2515
La 9.7015 5.2442 -1.8219
La 5.7952 5.2541 -1.8117
La 3.9575 7.0246 1.0887
La 2.2267 4.4898 -1.5419
La 6.8830 -2.7464 3.3512
La 8.6137 -0.2116 5.9817
La 2.0365 4.7444 2.5473
La 4.1477 2.9477 0.6828
La 8.8040 -0.4661 1.8925
La 6.6927 1.3306 3.7571
Dy 3.0921 1.6785 3.7037
Dy 7.7484 2.5997 0.7362
Y 3.0921 7.9448 -2.3346
Y 7.7484 -3.6666 6.7744
Tm 5.3841 4.3866 3.4819
Tm 0.8001 2.0005 1.0057
Tm 5.4564 -0.1084 0.9579
Tm 10.0403 2.2778 3.4342
```

=====

Number 1: uncorrected energy -20.79 eV per cell, formation energy from the elements -306 kJ/mol of formula units. Number 2: uncorrected energy -21.44 eV per cell, formation energy from the elements -128 kJ/mol of formula units. Number 3: uncorrected energy -13.10 eV per cell, formation energy from the elements 81 kJ/mol of formula units. Number 4: uncorrected energy -54.97 eV per cell, formation energy from the elements -384 kJ/mol of formula units. Number 5: uncorrected energy -38.34 eV per cell, formation energy from the elements 69 kJ/mol of formula units. Number 6: uncorrected energy -97.01 eV per cell, formation energy from the elements 103 kJ/mol of formula units.